Density functional theory data (GGA-PBE) for a relaxed structure of MgCrPt3.

Computed properties:
For the formation energy, the calculation gives 0.484 eV per atom. As for the space-group type: Pm-3m. The electronic total energy is -5.384 eV/atom. The energy relative to the lowest polymorph listed for this composition is 0.000 eV per atom. The calculation puts the volume at 98.4 Å³ per cell.

Cell and atoms, written as CIF:
```
data_MgCrPt3
_cell_length_a 4.6170
_cell_length_b 4.6170
_cell_length_c 4.6170
_cell_angle_alpha 90.00
_cell_angle_beta 90.00
_cell_angle_gamma 90.00
_space_group_name_H-M_alt 'P 1'
_space_group_IT_number 1
_space_group_name_Hall 'P 1'
loop_
_atom_site_label
_atom_site_fract_x
_atom_site_fract_y
_atom_site_fract_z
Cr1 0.0000 0.0000 0.0000
Mg1 0.5000 0.5000 0.5000
Pt1 0.5000 0.0000 0.0000
Pt2 0.0000 0.5000 0.0000
Pt3 0.0000 0.0000 0.5000
```